Below is a relaxed structure of LaPb2, with properties calculated at the PBE level.

Calculated values
SG	No. 139
density	9.67	g/cm3
formation energy	-312	meV per atom

Unit cell a=4.069 b=4.069 c=6.419 alpha=108.48 beta=108.48 gamma=90.00
Atoms (fractional coordinates):
1 Pb 0.316 0.316 0.632
2 Pb 0.684 0.684 0.368
3 La 0.000 0.000 0.000



Below is a relaxed structure of La4Pb3, with properties calculated at the PBE level.

Calculated values
SG	No. 191
density	8.52	g/cm3
formation energy	-425	meV per atom

Unit cell a=6.530 b=6.530 c=6.215 alpha=90.00 beta=90.00 gamma=120.00
Atoms (fractional coordinates):
1 La 0.000 0.000 0.242
2 La 0.000 0.000 0.758
3 La 0.667 0.333 0.500
4 La 0.333 0.667 0.500
5 Pb 0.000 0.500 0.000
6 Pb 0.500 0.500 0.000
7 Pb 0.500 0.000 0.000



Below is a relaxed structure of La3Pb, with properties calculated at the PBE level.

Calculated values
SG	No. 12
density	7.80	g/cm3
formation energy	-295	meV per atom

Unit cell a=6.282 b=6.282 c=6.105 alpha=82.04 beta=82.04 gamma=33.86
Atoms (fractional coordinates):
1 Pb 0.000 0.000 0.000
2 La 0.500 0.500 0.500
3 La 0.264 0.264 0.232
4 La 0.736 0.736 0.768



Below is a relaxed structure of La2Pb, with properties calculated at the PBE level.

Calculated values
SG	No. 63
density	8.13	g/cm3
formation energy	-463	meV per atom

Unit cell a=8.888 b=8.888 c=5.040 alpha=90.00 beta=90.00 gamma=150.16
Atoms (fractional coordinates):
1 La 0.975 0.025 0.000
2 La 0.653 0.347 0.000
3 La 0.470 0.530 0.500
4 La 0.792 0.208 0.500
5 Pb 0.324 0.676 0.000
6 Pb 0.120 0.880 0.500



Below is a relaxed structure of LaPb, with properties calculated at the PBE level.

Calculated values
SG	No. 164
density	7.67	g/cm3
formation energy	-307	meV per atom

Unit cell a=5.396 b=5.396 c=17.826 alpha=90.00 beta=90.00 gamma=120.00
Each line ends with the local moment (μB).
Atoms (fractional coordinates):
1 Pb 0.000 0.000 0.082  0.00
2 Pb 0.000 0.000 0.918  0.00
3 Pb 0.333 0.667 0.378  -0.01
4 Pb 0.333 0.667 0.200  -0.01
5 Pb 0.667 0.333 0.800  -0.01
6 Pb 0.667 0.333 0.622  -0.01
7 La 0.000 0.000 0.278  0.01
8 La 0.000 0.000 0.722  0.01
9 La 0.333 0.667 0.569  0.13
10 La 0.333 0.667 0.902  -0.01
11 La 0.667 0.333 0.098  -0.01
12 La 0.667 0.333 0.431  0.13



Below is a relaxed structure of La2Pb, with properties calculated at the PBE level.

Calculated values
SG	No. 164
density	7.70	g/cm3
formation energy	-188	meV per atom

Unit cell a=3.776 b=3.776 c=8.472 alpha=90.00 beta=90.00 gamma=120.00
Each line ends with the local moment (μB).
Atoms (fractional coordinates):
1 La 0.667 0.333 0.677  0.10
2 La 0.333 0.667 0.323  0.10
3 Pb 0.000 0.000 0.000  0.00



Below is a relaxed structure of LaPb, with properties calculated at the PBE level.

Calculated values
SG	No. 194
density	8.49	g/cm3
formation energy	-214	meV per atom

Unit cell a=5.616 b=5.616 c=9.913 alpha=90.00 beta=90.00 gamma=120.00
Atoms (fractional coordinates):
1 La 0.333 0.667 0.098
2 La 0.667 0.333 0.598
3 La 0.667 0.333 0.902
4 La 0.333 0.667 0.402
5 Pb 0.000 0.000 0.250
6 Pb 0.000 0.000 0.750
7 Pb 0.333 0.667 0.750
8 Pb 0.667 0.333 0.250



Below is a relaxed structure of LaPb7, with properties calculated at the PBE level.

Calculated values
SG	No. 225
density	10.54	g/cm3
formation energy	-183	meV per atom

Unit cell a=7.074 b=7.074 c=7.074 alpha=60.00 beta=60.00 gamma=60.00
Atoms (fractional coordinates):
1 La 0.000 0.000 0.000
2 Pb 0.500 0.000 0.500
3 Pb 0.000 0.500 0.500
4 Pb 0.000 0.000 0.500
5 Pb 0.000 0.500 0.000
6 Pb 0.500 0.000 0.000
7 Pb 0.500 0.500 0.000
8 Pb 0.500 0.500 0.500